## RuS4Cl12 (meta-GGA SCAN)

Data for a crystal of RuS4Cl12 relaxed with PBEsol.

Summary:
formation energy from raw total energies: -0.26 eV/atom
theoretical density: 2.433 g cm⁻³
total moment: 0.00 μB/cell
final energy: -0.7502 Ry/atom

Cell: 10.2429 12.2491 14.7860 Å, 90.00 105.48 90.00°
Fractional positions:
Ru1 0.1852 0.2265 0.3014
Ru2 0.1852 0.2735 0.8014
Ru3 0.8148 0.7265 0.1986
Ru4 0.8148 0.7735 0.6986
S1 0.0356 0.7255 0.7260
S2 0.0356 0.7745 0.2260
S3 0.1487 0.0669 0.2280
S4 0.1487 0.4331 0.7280
S5 0.1949 0.1878 0.6728
S6 0.1949 0.3122 0.1728
S7 0.4775 0.0839 0.4878
S8 0.4775 0.4161 0.9878
S9 0.5225 0.5839 0.0122
S10 0.5225 0.9161 0.5122
S11 0.8051 0.6878 0.8272
S12 0.8051 0.8122 0.3272
S13 0.8513 0.5669 0.2720
S14 0.8513 0.9331 0.7720
S15 0.9644 0.2255 0.7740
S16 0.9644 0.2745 0.2740
Cl1 0.0466 0.0678 0.6344
Cl2 0.0466 0.4322 0.1344
Cl3 0.1061 0.7349 0.1136
Cl4 0.1061 0.7651 0.6136
Cl5 0.1298 0.0803 0.0865
Cl6 0.1298 0.4197 0.5865
Cl7 0.1551 0.6704 0.3238
Cl8 0.1551 0.8296 0.8238
Cl9 0.1786 0.1111 0.8886
Cl10 0.1786 0.3889 0.3886
Cl11 0.1868 0.1088 0.4308
Cl12 0.1868 0.3912 0.9308
Cl13 0.3193 0.5355 0.7617
Cl14 0.3193 0.9645 0.2617
Cl15 0.3280 0.6246 0.9997
Cl16 0.3280 0.8754 0.4997
Cl17 0.3673 0.0866 0.7007
Cl18 0.3673 0.4134 0.2007
Cl19 0.4217 0.2163 0.3557
Cl20 0.4217 0.2837 0.8557
Cl21 0.4726 0.5711 0.4242
Cl22 0.4726 0.9289 0.9242
Cl23 0.4744 0.2097 0.1293
Cl24 0.4744 0.2903 0.6293
Cl25 0.5256 0.7097 0.3707
Cl26 0.5256 0.7903 0.8707
Cl27 0.5274 0.0711 0.0758
Cl28 0.5274 0.4289 0.5758
Cl29 0.5783 0.7163 0.1443
Cl30 0.5783 0.7837 0.6443
Cl31 0.6327 0.5866 0.7993
Cl32 0.6327 0.9134 0.2993
Cl33 0.6720 0.1246 0.5003
Cl34 0.6720 0.3754 0.0003
Cl35 0.6807 0.0355 0.7383
Cl36 0.6807 0.4645 0.2383
Cl37 0.8132 0.6088 0.0692
Cl38 0.8132 0.8912 0.5692
Cl39 0.8214 0.6111 0.6114
Cl40 0.8214 0.8889 0.1114
Cl41 0.8449 0.1704 0.1762
Cl42 0.8449 0.3296 0.6762
Cl43 0.8702 0.5803 0.4135
Cl44 0.8702 0.9197 0.9135
Cl45 0.8939 0.2349 0.3864
Cl46 0.8939 0.2651 0.8864
Cl47 0.9534 0.5678 0.8656
Cl48 0.9534 0.9322 0.3656